Record 1
## Mg4ZnAu2 (PBE)

Data for a relaxed structure of Mg4ZnAu2.

abc: 4.5994 4.5994 7.9291
angles: 73.14 73.14 60.00
Closest atoms and distances in Å follow each position.
Fractional positions:
Mg (0.8709, 0.8709, 0.3874)  4 Au 2.76-2.87, 1 Zn 2.89
Mg (0.1291, 0.1291, 0.6126)  4 Au 2.76-2.87, 1 Zn 2.89
Mg (0.6201, 0.6201, 0.1396)  4 Au 2.77-2.86, 3 Zn 2.85
Mg (0.3799, 0.3799, 0.8604)  4 Au 2.77-2.86, 3 Zn 2.85
Zn (0.0000, 0.0000, 0.0000)  8 Mg 2.85-2.89
Au (0.7476, 0.7476, 0.7572)  8 Mg 2.76-2.87
Au (0.2524, 0.2524, 0.2428)  8 Mg 2.76-2.87

Computed properties:
Relative energy among the computed polymorphs = 0 meV/atom

***

Record 2
## Mg2Zn3Au6 (PBE)

Data for a relaxed structure of Mg2Zn3Au6.

abc: 3.8708 3.8708 14.4207
angles: 97.71 97.71 90.00
Closest atoms and distances in Å follow each position.
Fractional positions:
Mg (0.3196, 0.3196, 0.6392)  5 Au 2.74-2.99, 4 Zn 3.04
Mg (0.6804, 0.6804, 0.3608)  5 Au 2.74-2.99, 4 Zn 3.04
Zn (0.0000, 0.0000, 0.0000)  8 Au 2.73
Zn (0.8664, 0.8664, 0.7328)  5 Au 2.52-2.69
Zn (0.1336, 0.1336, 0.2672)  5 Au 2.52-2.69
Au (0.0678, 0.5678, 0.1356)  4 Zn 2.69-2.73, 4 Au 2.74
Au (0.5678, 0.0678, 0.1356)  4 Zn 2.69-2.73, 4 Au 2.74
Au (0.9322, 0.4322, 0.8644)  4 Zn 2.69-2.73, 4 Au 2.74
Au (0.4322, 0.9322, 0.8644)  4 Zn 2.69-2.73, 4 Au 2.74
Au (0.7773, 0.7773, 0.5546)  1 Zn 2.52, 1 Mg 2.74
Au (0.2227, 0.2227, 0.4454)  1 Zn 2.52, 1 Mg 2.74

Computed properties:
Final energy = -2.6132 eV/atom

***

Record 3
## Mg2ZnAu (PBE)

Data for a relaxed structure of Mg2ZnAu.

abc: 3.5772 3.5772 5.7757
angles: 90.00 90.00 90.00
Closest atoms and distances in Å follow each position.
Fractional positions:
Au (0.5000, 0.5000, 0.7597)  6 Mg 2.81-2.97, 4 Zn 2.96
Mg (0.0000, 0.0000, 0.9735)  2 Zn 2.77-3.00, 4 Au 2.81, 4 Mg 3.07
Mg (0.5000, 0.5000, 0.2732)  2 Au 2.81-2.97, 4 Zn 2.83, 4 Mg 3.07
Zn (0.0000, 0.0000, 0.4936)  6 Mg 2.77-3.00, 4 Au 2.96

Computed properties:
Final energy = -2.2082 eV/atom

***

Record 4
## MgZnAu2 (PBE)

Data for a relaxed structure of MgZnAu2.

abc: 4.5833 4.5833 4.5833
angles: 60.00 60.00 60.00
Closest atoms and distances in Å follow each position.
Fractional positions:
Zn (0.5000, 0.5000, 0.5000)  8 Au 2.81
Au (0.2500, 0.2500, 0.2500)  4 Mg 2.81, 4 Zn 2.81
Au (0.7500, 0.7500, 0.7500)  4 Mg 2.81, 4 Zn 2.81
Mg (0.0000, 0.0000, 0.0000)  8 Au 2.81

Computed properties:
Final energy = -2.7793 eV/atom

***

Record 5
## Mg3Zn2Au4 (PBE)

Data for a relaxed structure of Mg3Zn2Au4.

abc: 4.1166 4.9330 8.7145
angles: 78.12 90.00 114.66
Closest atoms and distances in Å follow each position.
Fractional positions:
Mg (0.3398, 0.6797, 0.5714)  6 Au 2.74-2.95, 3 Mg 2.86-3.05, 2 Zn 2.97
Mg (0.0000, 0.0000, 0.0000)  8 Au 2.82-2.95, 4 Zn 2.95
Mg (0.6602, 0.3203, 0.4286)  6 Au 2.74-2.95, 3 Mg 2.86-3.05, 2 Zn 2.97
Zn (0.3325, 0.6650, 0.2139)  6 Au 2.76-2.91, 4 Mg 2.95-2.97
Zn (0.6675, 0.3350, 0.7861)  6 Au 2.76-2.91, 4 Mg 2.95-2.97
Au (0.6641, 0.3282, 0.1093)  4 Mg 2.77-2.95, 4 Zn 2.81-2.91, 4 Au 2.98-3.10
Au (0.0270, 0.0540, 0.6613)  6 Mg 2.74-2.95, 2 Zn 2.76, 1 Au 2.96
Au (0.9730, 0.9460, 0.3387)  6 Mg 2.74-2.95, 2 Zn 2.76, 1 Au 2.96
Au (0.3359, 0.6718, 0.8907)  4 Mg 2.77-2.95, 4 Zn 2.81-2.91, 4 Au 2.98-3.10

Computed properties:
Final energy = -2.6770 eV/atom

***

Record 6
## MgZnAu (PBE)

Data for a relaxed structure of MgZnAu.

abc: 4.8320 5.0055 8.4865
angles: 90.00 90.00 90.00
Closest atoms and distances in Å follow each position.
Fractional positions:
Mg (0.2500, 0.7088, 0.8459)  5 Zn 2.80-2.92, 5 Au 2.82-2.87
Mg (0.7500, 0.2912, 0.8459)  5 Zn 2.80-2.92, 5 Au 2.82-2.87
Mg (0.2500, 0.2088, 0.3459)  5 Zn 2.80-2.92, 5 Au 2.82-2.87
Mg (0.7500, 0.7912, 0.3459)  5 Zn 2.80-2.92, 5 Au 2.82-2.87
Zn (0.2500, 0.2016, 0.0158)  5 Mg 2.80-2.92, 5 Au 2.83-2.91
Zn (0.7500, 0.7984, 0.0158)  5 Mg 2.80-2.92, 5 Au 2.83-2.91
Zn (0.2500, 0.7016, 0.5158)  5 Mg 2.80-2.92, 5 Au 2.83-2.91
Zn (0.7500, 0.2984, 0.5158)  5 Mg 2.80-2.92, 5 Au 2.83-2.91
Au (0.2500, 0.2098, 0.6818)  5 Mg 2.82-2.87, 5 Zn 2.83-2.91
Au (0.7500, 0.7902, 0.6818)  5 Mg 2.82-2.87, 5 Zn 2.83-2.91
Au (0.2500, 0.7098, 0.1818)  5 Mg 2.82-2.87, 5 Zn 2.83-2.91
Au (0.7500, 0.2902, 0.1818)  5 Mg 2.82-2.87, 5 Zn 2.83-2.91

Computed properties:
Final energy = -2.4120 eV/atom

***

Record 7
## Mg2Zn3Au4 (PBE)

Data for a relaxed structure of Mg2Zn3Au4.

abc: 4.1769 4.8833 8.5904
angles: 77.08 90.40 64.00
Closest atoms and distances in Å follow each position.
Fractional positions:
Mg (0.3154, 0.3706, 0.7800)  7 Au 2.80-2.97, 5 Zn 2.92-3.03
Mg (0.6846, 0.6294, 0.2200)  7 Au 2.80-2.97, 5 Zn 2.92-3.03
Zn (0.3480, 0.3055, 0.4411)  1 Zn 2.62, 5 Au 2.67-2.91, 1 Mg 2.92
Zn (0.0000, 0.0000, 0.0000)  8 Au 2.78-2.96, 4 Mg 2.98-3.03
Zn (0.6520, 0.6945, 0.5589)  1 Zn 2.62, 5 Au 2.67-2.91, 1 Mg 2.92
Au (0.6525, 0.6961, 0.8864)  4 Zn 2.78-2.96, 4 Mg 2.80-2.87, 4 Au 3.01-3.10
Au (0.0332, 0.9319, 0.3398)  6 Zn 2.67-2.93, 3 Mg 2.80-2.97, 1 Au 2.96
Au (0.9668, 0.0681, 0.6602)  6 Zn 2.67-2.93, 3 Mg 2.80-2.97, 1 Au 2.96
Au (0.3475, 0.3039, 0.1136)  4 Zn 2.78-2.96, 4 Mg 2.80-2.87, 4 Au 3.01-3.10

Computed properties:
Relative energy among the computed polymorphs = 0 meV/atom

***

Record 8
## Mg2ZnAu (PBE)

Data for a relaxed structure of Mg2ZnAu.

abc: 4.6168 4.6168 4.6162
angles: 60.00 60.00 60.00
Closest atoms and distances in Å follow each position.
Fractional positions:
Mg (0.9999, 0.9999, 0.0003)  4 Au 2.83, 4 Mg 2.83
Mg (0.2500, 0.2500, 0.2499)  4 Mg 2.83, 4 Zn 2.83
Zn (0.5001, 0.5001, 0.4997)  4 Au 2.83, 4 Mg 2.83
Au (0.7500, 0.7500, 0.7501)  4 Zn 2.83, 4 Mg 2.83

Computed properties:
Final energy = -2.2106 eV/atom

***

Record 9
## Mg3ZnAu (PBE)

Data for a relaxed structure of Mg3ZnAu.

abc: 4.9162 4.9162 4.9162
angles: 90.00 90.00 90.00
Closest atoms and distances in Å follow each position.
Fractional positions:
Zn (0.0000, 0.0000, 0.0000)  6 Mg 2.46
Au (0.5000, 0.5000, 0.5000)  12 Mg 3.48
Mg (0.0000, 0.5000, 0.0000)  2 Zn 2.46
Mg (0.0000, 0.0000, 0.5000)  2 Zn 2.46
Mg (0.5000, 0.0000, 0.0000)  2 Zn 2.46

Computed properties:
Relative energy among the computed polymorphs = 459 meV/atom

***

Record 10
## Mg3Zn8Au (PBE)

Data for a relaxed structure of Mg3Zn8Au.

abc: 5.1571 5.1571 8.9799
angles: 73.31 73.31 60.00
Closest atoms and distances in Å follow each position.
Fractional positions:
Mg (0.6244, 0.6244, 0.1268)  12 Zn 3.02-3.04, 4 Mg 3.19-3.23
Mg (0.0030, 0.0030, 0.9909)  12 Zn 2.98-3.10, 1 Au 3.13, 3 Mg 3.19
Mg (0.4975, 0.4975, 0.5076)  12 Zn 2.99-3.06, 3 Au 3.13, 1 Mg 3.23
Zn (0.5624, 0.0617, 0.8135)  6 Zn 2.58-2.59
Zn (0.0622, 0.5631, 0.3124)  6 Zn 2.57-2.59
Zn (0.5624, 0.5624, 0.8135)  6 Zn 2.58-2.59
Zn (0.0622, 0.0622, 0.3124)  6 Zn 2.57-2.59
Zn (0.8124, 0.8124, 0.5628)  6 Zn 2.59
Zn (0.3124, 0.3124, 0.0629)  6 Zn 2.59
Zn (0.0617, 0.5624, 0.8135)  6 Zn 2.58-2.59
Zn (0.5631, 0.0622, 0.3124)  6 Zn 2.57-2.59
Au (0.1263, 0.1263, 0.6211)  12 Zn 3.01-3.05, 4 Mg 3.13

Computed properties:
Final energy = -1.6510 eV/atom